(1)
Ge2AsN, relaxed, DFT GGA-PBE; relative energy among the computed polymorphs = 0.0 meV per atom; ΔE_f (raw) = 408 meV per atom
1.0
5.842 0.000 0.000
0.000 5.842 0.000
2.921 2.921 4.144
As Ge N
2 4 2
Direct
0.000 0.000 0.000 As
0.750 0.250 0.500 As
0.555 0.125 0.250 Ge
0.195 0.625 0.250 Ge
0.375 0.445 0.750 Ge
0.875 0.805 0.750 Ge
0.500 0.500 0.000 N
0.250 0.750 0.500 N

---

(2)
Ge2AsN, relaxed, DFT GGA-PBE; relative energy among the computed polymorphs = 3.3 meV per atom; ΔE_f (raw) = 411 meV per atom
1.0
-2.515 1.512 2.932
0.515 -1.128 3.958
3.126 4.808 3.137
As Ge N
1 2 1
Direct
0.500 0.500 0.500 As
0.095 0.095 0.714 Ge
0.905 0.905 0.286 Ge
0.000 0.000 0.000 N

---

(3)
Ge2AsN, relaxed, DFT GGA-PBE; relative energy among the computed polymorphs = 671.7 meV per atom; ΔE_f (raw) = 1080 meV per atom
1.0
2.241 1.616 3.493
-1.898 3.031 2.654
-1.218 -1.114 4.136
As Ge N
1 2 1
Direct
0.500 0.500 0.500 As
0.250 0.250 0.250 Ge
0.750 0.750 0.750 Ge
0.000 0.000 0.000 N

---

(4)
NiGeAsN2, relaxed, DFT GGA-PBE; ΔE_f (raw) = 1344 meV per atom
1.0
-1.361 -3.356 0.052
5.031 -2.036 0.331
-0.185 0.131 3.615
Ni As Ge N
1 1 1 2
Direct
0.000 0.500 0.000 Ni
0.500 0.500 0.500 As
0.000 0.000 0.000 Ge
0.000 0.000 0.500 N
0.500 0.000 0.000 N

---

(5)
GeAsN2O, relaxed, DFT GGA-PBE; ΔE_f (raw) = 693 meV per atom
1.0
3.810 0.000 0.000
0.000 3.810 0.000
0.000 0.000 3.751
As Ge O N
1 1 1 2
Direct
0.000 0.000 0.000 As
0.500 0.500 0.500 Ge
0.000 0.000 0.500 O
0.000 0.500 0.000 N
0.500 0.000 0.000 N

---

(6)
GeAsN2O, relaxed, DFT GGA-PBE; ΔE_f (raw) = 732 meV per atom
1.0
3.842 0.000 0.000
0.000 3.842 0.000
0.000 0.000 3.712
As Ge O N
1 1 1 2
Direct
0.500 0.500 0.500 As
0.000 0.000 0.000 Ge
0.000 0.000 0.500 O
0.000 0.500 0.000 N
0.500 0.000 0.000 N

---

(7)
PaGeAs2N, relaxed, DFT GGA-PBE; ΔE_f (raw) = -725 meV per atom
1.0
-2.177 -1.737 -2.698
2.351 -3.082 0.087
-7.087 -5.151 9.036
Pa Ge As N
2 2 4 2
Direct
0.500 0.000 0.598 Pa
0.000 0.500 0.402 Pa
0.500 0.000 0.095 Ge
0.000 0.500 0.905 Ge
0.000 0.500 0.707 As
0.000 0.500 0.112 As
0.500 0.000 0.888 As
0.500 0.000 0.293 As
0.000 0.000 0.500 N
0.500 0.500 0.500 N

---

(8)
GeAs2PdN, relaxed, DFT GGA-PBE; ΔE_f (raw) = 1538 meV per atom
1.0
4.810 0.000 0.000
0.000 4.806 0.000
0.000 0.000 4.810
As Ge Pd N
2 1 1 1
Direct
0.000 0.000 0.500 As
0.500 0.000 0.000 As
0.000 0.500 0.000 Ge
0.000 0.000 0.000 Pd
0.500 0.500 0.500 N

---

(9)
RbGeAs2N, relaxed, DFT GGA-PBE; ΔE_f (raw) = 754 meV per atom
1.0
4.820 0.000 0.000
0.000 4.466 0.000
0.000 0.000 4.820
As Ge Rb N
2 1 1 1
Direct
0.000 0.000 0.500 As
0.500 0.000 0.000 As
0.000 0.500 0.000 Ge
0.500 0.500 0.500 Rb
0.000 0.000 0.000 N

---

(10)
ReGeAs2N, relaxed, DFT GGA-PBE; ΔE_f (raw) = 1044 meV per atom
1.0
-1.149 -0.343 4.079
2.889 -2.906 0.570
2.818 3.006 1.047
Re As Ge N
1 2 1 1
Direct
0.500 0.500 0.500 Re
0.000 0.000 0.500 As
0.500 0.000 0.000 As
0.000 0.500 0.000 Ge
0.000 0.000 0.000 N

---

(11)
GeAs2SeN, relaxed, DFT GGA-PBE; relative energy among the computed polymorphs = 0.0 meV per atom; ΔE_f (raw) = 801 meV per atom
1.0
4.362 0.000 0.000
0.000 4.362 0.000
0.000 0.000 4.613
As Ge Se N
2 1 1 1
Direct
0.000 0.500 0.000 As
0.500 0.000 0.000 As
0.500 0.500 0.500 Ge
0.000 0.000 0.500 Se
0.000 0.000 0.000 N

---

(12)
GeAs2SeN, relaxed, DFT GGA-PBE; relative energy among the computed polymorphs = 880.8 meV per atom; ΔE_f (raw) = 1681 meV per atom
1.0
4.998 0.000 0.000
0.000 4.998 0.000
0.000 0.000 5.052
As Ge Se N
2 1 1 1
Direct
0.000 0.500 0.000 As
0.500 0.000 0.000 As
0.000 0.000 0.000 Ge
0.000 0.000 0.500 Se
0.500 0.500 0.500 N